A | DFT (GGA-PBE) results for an optimized crystal structure of Pm5Ge2Ir2.

Results
Theoretical density ... 8.6 g/cm3
Total moment ... 0.000 μB/f.u.
Volume ... 26.8 A^3/atom

Lattice parameters (Å, degrees): 7.969 7.321 9.883 111.74 113.78 90.00
Fractional positions:
Pm  0.259  0.638  0.878
Pm  0.741  0.760  0.122
Pm  0.119  0.138  0.878
Pm  0.881  0.260  0.122
Pm  0.310  0.053  0.299
Pm  0.690  0.755  0.701
Pm  0.489  0.553  0.299
Pm  0.511  0.255  0.701
Pm  0.112  0.755  0.500
Pm  0.888  0.255  0.500
Ge  0.107  0.619  0.153
Ge  0.893  0.466  0.847
Ge  0.546  0.119  0.153
Ge  0.454  0.966  0.847
Ir  0.000  0.876  0.000
Ir  0.500  0.376  0.000
Ir  0.236  0.413  0.500
Ir  0.764  0.913  0.500

***

B | DFT (GGA-PBE) results for an optimized crystal structure of Pm5Ge2Ir2.

Results
Theoretical density ... 9.2 g/cm3
Total moment ... 0.000 μB/f.u.
Volume ... 25.3 A^3/atom

Lattice parameters (Å, degrees): 7.715 7.722 8.559 90.00 63.21 90.00
Fractional positions:
Pm  0.000  0.000  0.000
Pm  0.500  0.500  0.000
Pm  0.470  0.164  0.708
Pm  0.823  0.836  0.708
Pm  0.323  0.664  0.708
Pm  0.970  0.336  0.708
Pm  0.530  0.836  0.292
Pm  0.177  0.164  0.292
Pm  0.677  0.336  0.292
Pm  0.030  0.664  0.292
Ge  0.121  0.383  0.000
Ge  0.879  0.617  0.000
Ge  0.379  0.883  0.000
Ge  0.621  0.117  0.000
Ir  0.199  0.000  0.602
Ir  0.699  0.500  0.602
Ir  0.801  0.000  0.398
Ir  0.301  0.500  0.398

***

Quick one: least stable of them? A

***

A | DFT (GGA-PBE) results for an optimized crystal structure of Pm3Ge4Ir2.

Results
Theoretical density ... 9.7 g/cm3
Total moment ... 0.000 μB/f.u.
Volume ... 21.2 A^3/atom

Lattice parameters (Å, degrees): 4.334 5.975 8.359 107.77 90.00 111.26
Fractional positions:
Pm  0.621  0.242  0.697
Pm  0.000  0.000  0.000
Pm  0.379  0.758  0.303
Ge  0.710  0.420  0.077
Ge  0.290  0.580  0.923
Ge  0.906  0.812  0.603
Ge  0.094  0.188  0.397
Ir  0.692  0.384  0.367
Ir  0.308  0.616  0.633

***

B | DFT (GGA-PBE) results for an optimized crystal structure of Pm3Ge4Ir2.

Results
Theoretical density ... 9.4 g/cm3
Total moment ... 0.000 μB/f.u.
Volume ... 21.9 A^3/atom

Lattice parameters (Å, degrees): 4.272 5.989 8.471 102.38 90.00 110.90
Fractional positions:
Pm  0.668  0.336  0.652
Pm  0.000  0.000  0.000
Pm  0.332  0.664  0.348
Ge  0.734  0.468  0.079
Ge  0.266  0.532  0.921
Ge  0.951  0.902  0.622
Ge  0.049  0.098  0.378
Ir  0.604  0.208  0.275
Ir  0.396  0.792  0.725

***

Quick one: least stable of them? B

***

A | DFT (GGA-PBE) results for an optimized crystal structure of PmGeIr.

Results
Theoretical density ... 10.7 g/cm3
Total moment ... 0.000 μB/f.u.
Volume ... 21.2 A^3/atom

Lattice parameters (Å, degrees): 3.898 4.342 4.342 120.00 90.00 90.00
Fractional positions:
Ge  0.167  0.667  0.333
Ir  0.167  0.000  0.000
Pm  0.667  0.333  0.667

***

B | DFT (GGA-PBE) results for an optimized crystal structure of PmGeIr.

Results
Theoretical density ... 11.4 g/cm3
Total moment ... 0.000 μB/f.u.
Volume ... 20.0 A^3/atom

Lattice parameters (Å, degrees): 4.432 7.588 7.128 90.00 90.00 90.00
Fractional positions:
Pm  0.250  0.810  0.494
Pm  0.750  0.310  0.006
Pm  0.250  0.690  0.994
Pm  0.750  0.190  0.506
Ge  0.750  0.896  0.200
Ge  0.750  0.604  0.700
Ge  0.250  0.104  0.800
Ge  0.250  0.396  0.300
Ir  0.750  0.572  0.339
Ir  0.750  0.928  0.839
Ir  0.250  0.072  0.161
Ir  0.250  0.428  0.661

***

Quick one: least stable of them? A